(1)
A plane-wave DFT calculation with PBE was carried out for a relaxed structure of HgRhF2.

- E above lowest polymorph (meV/atom) = 200
- raw formation energy (meV/atom) = -630
- crystal system = tetragonal
- D(E_F) (states/eV per cell) = 7.36
- calculated volume (Å³ per atom) = 17.7

a b c (Å): 5.8035 5.8035 5.8035
angles (deg): 102.24 102.24 125.18
Last column: nearest neighbours and their distance in Å.
Fractional positions:
Hg 0.0000 0.0000 0.0000  2 Rh 2.67, 4 F 2.86
Hg 0.7500 0.2500 0.5000  2 Rh 2.67, 4 F 2.86
Rh 0.2500 0.7500 0.5000  4 F 2.15
Rh 0.5000 0.5000 0.0000  4 F 2.15
F 0.2478 0.6250 0.1228  2 Rh 2.15
F 0.3750 0.4978 0.6228  2 Rh 2.15
F 0.5022 0.1250 0.8772  2 Rh 2.15
F 0.8750 0.7522 0.3772  2 Rh 2.15

(2)
A plane-wave DFT calculation with PBE was carried out for a relaxed structure of Rb3Ce2TmTe6.

- raw formation energy (meV/atom) = -1340
- crystal system = monoclinic
- D(E_F) (states/eV per cell) = 12.35
- calculated volume (Å³ per atom) = 39.6

a b c (Å): 8.0151 8.0151 8.9411
angles (deg): 98.60 98.60 120.01
Last column: nearest neighbours and their distance in Å.
Fractional positions:
Rb 0.0000 0.0000 0.0000  6 Te 3.66-3.75
Rb 0.3309 0.6691 0.0000  6 Te 3.66-3.73
Rb 0.6691 0.3309 0.0000  6 Te 3.66-3.73
Ce 0.1664 0.8336 0.5000  6 Te 3.21-3.22
Ce 0.8336 0.1664 0.5000  6 Te 3.21-3.22
Tm 0.5000 0.5000 0.5000  6 Te 3.10-3.11
Te 0.1104 0.4330 0.2987  1 Tm 3.10, 2 Ce 3.21-3.22
Te 0.2452 0.2452 0.7021  1 Tm 3.11, 2 Ce 3.21
Te 0.4330 0.1104 0.2987  1 Tm 3.10, 2 Ce 3.21-3.22
Te 0.5670 0.8896 0.7013  1 Tm 3.10, 2 Ce 3.21-3.22
Te 0.7548 0.7548 0.2979  1 Tm 3.11, 2 Ce 3.21
Te 0.8896 0.5670 0.7013  1 Tm 3.10, 2 Ce 3.21-3.22

(3)
A plane-wave DFT calculation with PBE was carried out for a relaxed structure of TmSc6.

- calculated formation energy (meV/atom) = 242.5
- E above lowest polymorph (meV/atom) = 0
- crystal system = tetragonal
- D(E_F) (states/eV per cell) = 21.23
- calculated volume (Å³ per atom) = 26.2

a b c (Å): 6.0248 6.0248 10.1084
angles (deg): 90.00 90.00 90.00
Last column: nearest neighbours and their distance in Å.
Fractional positions:
Tm 0.2500 0.7500 0.0000  8 Sc 3.34
Tm 0.7500 0.2500 0.0000  8 Sc 3.34
Sc 0.0818 0.5818 0.3626  8 Sc 2.87-3.17
Sc 0.0818 0.9182 0.6374  8 Sc 2.87-3.17
Sc 0.2500 0.2500 0.1427  5 Sc 2.89-3.16
Sc 0.2500 0.2500 0.8573  5 Sc 2.89-3.16
Sc 0.4182 0.5818 0.6374  8 Sc 2.87-3.17
Sc 0.4182 0.9182 0.3626  8 Sc 2.87-3.17
Sc 0.5818 0.0818 0.6374  8 Sc 2.87-3.17
Sc 0.5818 0.4182 0.3626  8 Sc 2.87-3.17
Sc 0.7500 0.7500 0.1427  5 Sc 2.89-3.16
Sc 0.7500 0.7500 0.8573  5 Sc 2.89-3.16
Sc 0.9182 0.0818 0.3626  8 Sc 2.87-3.17
Sc 0.9182 0.4182 0.6374  8 Sc 2.87-3.17

(4)
A plane-wave DFT calculation with PBE was carried out for a relaxed structure of ReSiAu2.

- raw formation energy (meV/atom) = 556
- crystal system = orthorhombic
- D(E_F) (states/eV per cell) = 3.20
- calculated volume (Å³ per atom) = 16.4

a b c (Å): 2.7727 4.2895 5.5043
angles (deg): 90.00 90.00 90.00
Last column: nearest neighbours and their distance in Å.
Fractional positions:
Re 0.0000 0.0000 0.0000  2 Si 2.75, 2 Re 2.77, 8 Au 2.89
Si 0.0000 0.0000 0.5000  2 Re 2.75, 2 Si 2.77, 8 Au 2.91
Au 0.5000 0.5000 0.2472  4 Au 2.72-2.78, 4 Re 2.89, 4 Si 2.91
Au 0.5000 0.5000 0.7528  4 Au 2.72-2.78, 4 Re 2.89, 4 Si 2.91